i:
This record from Alexandria describes an optimized crystal structure of Dy4MgTl3. The functional is GGA-PBE.

```
Dy4MgTl3
1.0
3.7836 0.0000 0.0000
0.0000 4.8645 0.0000
0.0000 0.0000 12.1908
Dy Mg Tl
4 1 3
direct
0.0000 0.0000 0.0000
0.0000 0.5000 0.3147
0.5000 0.0000 0.5023
0.5000 0.5000 0.8192
0.0000 0.0000 0.7291
0.0000 0.5000 0.5819
0.5000 0.0000 0.2450
0.5000 0.5000 0.0763
```

=====

ii:
This record from Alexandria describes an optimized crystal structure of Dy4MgTl3. The functional is GGA-PBE.

```
Dy4MgTl3
1.0
8.0199 -2.6768 0.0000
8.0199 2.6768 0.0000
-1.7822 0.0000 5.0482
Dy Mg Tl
4 1 3
direct
0.1249 0.1249 0.1248
0.3751 0.3751 0.3753
0.6249 0.6249 0.6247
0.8751 0.8751 0.8752
0.0000 0.0000 0.5000
0.2453 0.2453 0.7453
0.5000 0.5000 0.0000
0.7547 0.7547 0.2547
```

=====

Unit: kJ/mol of atoms. Relative energies: i 4.9; ii 0.0.

=====

i:
This record from Alexandria describes an optimized crystal structure of DyTm3Mg. The functional is GGA-PBE.

```
DyTm3Mg
1.0
6.3150 -1.7794 0.0000
6.3150 1.7794 0.0000
-0.7618 0.0000 12.9593
Dy Tm Mg
2 6 2
direct
0.2366 0.2366 0.2697
0.7634 0.7634 0.7303
0.0328 0.0328 0.6870
0.1524 0.1524 0.9307
0.3669 0.3669 0.5198
0.6331 0.6331 0.4802
0.8476 0.8476 0.0693
0.9672 0.9672 0.3130
0.4341 0.4341 0.8797
0.5659 0.5659 0.1203
```

=====

ii:
This record from Alexandria describes an optimized crystal structure of DyTm3Mg. The functional is GGA-PBE.

```
DyTm3Mg
1.0
3.5320 0.0000 0.0000
0.0000 10.9725 0.0000
-1.6694 0.0000 8.1308
Dy Tm Mg
2 6 2
direct
0.0016 0.2500 0.4617
0.9984 0.7500 0.5383
0.1632 0.0059 0.8107
0.1632 0.4941 0.8107
0.3045 0.2500 0.0997
0.6955 0.7500 0.9003
0.8368 0.5059 0.1893
0.8368 0.9941 0.1893
0.3456 0.7500 0.2143
0.6544 0.2500 0.7857
```

=====

Unit: kJ/mol of atoms. Relative energies: i 0.0; ii 20.7.

=====

i:
This record from Alexandria describes an optimized crystal structure of Dy5Tm2Mg5. The functional is GGA-PBE.

```
Dy5Tm2Mg5
1.0
5.8634 -2.6573 0.0000
5.8634 2.6573 0.0000
-0.0167 0.0000 10.7580
Dy Tm Mg
5 2 5
direct
0.0000 0.0000 0.0000
0.3438 0.3438 0.5129
0.4784 0.4784 0.2288
0.5216 0.5216 0.7712
0.6562 0.6562 0.4871
0.1713 0.1713 0.2527
0.8287 0.8287 0.7473
0.0000 0.0000 0.5000
0.1594 0.1594 0.7275
0.3080 0.3080 0.9678
0.6920 0.6920 0.0322
0.8406 0.8406 0.2725
```

=====

ii:
This record from Alexandria describes an optimized crystal structure of Dy5Tm2Mg5. The functional is GGA-PBE.

```
Dy5Tm2Mg5
1.0
8.5165 -1.7927 0.0000
8.5165 1.7927 0.0000
-5.0732 0.0000 10.9901
Dy Tm Mg
5 2 5
direct
0.0000 0.0000 0.0000
0.0521 0.0521 0.7427
0.1655 0.1655 0.5193
0.8345 0.8345 0.4807
0.9479 0.9479 0.2573
0.3775 0.3775 0.7421
0.6225 0.6225 0.2579
0.2748 0.2748 0.2237
0.3298 0.3298 0.9998
0.5000 0.5000 0.5000
0.6702 0.6702 0.0002
0.7252 0.7252 0.7763
```

=====

Unit: kJ/mol of atoms. Relative energies: i 3.8; ii 0.0.